Computed, not measured: a relaxed structure of LaDyEr2Hg4 at the PBE level of DFT.

Properties
SG = R-3m (166)
total DFT energy (no corrections) = -2.952 eV per atom
total magnetic moment = 0.47 μB/f.u.

a b c (Å): 5.296 5.296 9.278
angles (deg): 73.42 73.42 60.00
Element x y z (fractional)
1 Er 0.751 0.751 0.746
2 Er 0.249 0.249 0.254
3 Dy 0.500 0.500 0.500
4 Hg 0.872 0.872 0.383
5 Hg 0.620 0.620 0.139
6 Hg 0.128 0.128 0.617
7 Hg 0.380 0.380 0.861
8 La 0.000 0.000 0.000

Computed, not measured: a relaxed structure of Mg2InAs at the PBE level of DFT.

Properties
energy relative to the lowest polymorph listed for this composition = 131.3 meV/atom
SG = I4/mmm (139)
total DFT energy (no corrections) = -2.789 eV per atom
total magnetic moment = 0.00 μB/f.u.

a b c (Å): 5.287 5.287 5.287
angles (deg): 129.15 129.15 74.76
Element x y z (fractional)
1 Mg 0.000 0.000 0.000
2 Mg 0.500 0.500 0.000
3 As 0.250 0.750 0.500
4 In 0.750 0.250 0.500

Computed, not measured: a relaxed structure of K2BaTa at the PBE level of DFT.

Properties
energy relative to the lowest polymorph listed for this composition = 340.2 meV/atom
SG = I-42d (122)
total DFT energy (no corrections) = -2.668 eV per atom
total magnetic moment = 4.23 μB/f.u.

a b c (Å): 5.134 5.134 14.634
angles (deg): 79.90 79.90 90.00
Element x y z (fractional)
1 K 0.375 0.351 0.750
2 K 0.649 0.125 0.250
3 K 0.101 0.625 0.250
4 K 0.875 0.899 0.750
5 Ba 0.250 0.750 0.500
6 Ba 0.500 0.500 0.000
7 Ta 0.000 0.000 0.000
8 Ta 0.750 0.250 0.500

Computed, not measured: a relaxed structure of YSiPt6 at the PBE level of DFT.

Properties
energy relative to the lowest polymorph listed for this composition = 119.6 meV/atom
SG = R-3m (166)
total DFT energy (no corrections) = -6.548 eV per atom
total magnetic moment = 0.00 μB/f.u.
ΔE_f (raw) = -0.5314 eV/atom

a b c (Å): 5.480 5.480 6.883
angles (deg): 66.54 66.54 60.00
Element x y z (fractional)
1 Pt 0.920 0.920 0.726
2 Pt 0.920 0.435 0.726
3 Pt 0.080 0.565 0.274
4 Pt 0.435 0.920 0.726
5 Pt 0.565 0.080 0.274
6 Pt 0.080 0.080 0.274
7 Si 0.000 0.000 0.000
8 Y 0.500 0.500 0.500

Computed, not measured: a relaxed structure of Ti2GePd at the PBE level of DFT.

Properties
SG = I-42d (122)
total DFT energy (no corrections) = -6.605 eV per atom
total magnetic moment = 0.00 μB/f.u.

a b c (Å): 7.101 7.101 5.699
angles (deg): 51.47 51.47 90.00
Element x y z (fractional)
1 Ti 0.375 0.373 0.750
2 Ti 0.875 0.877 0.750
3 Ti 0.123 0.625 0.250
4 Ti 0.627 0.125 0.250
5 Pd 0.000 0.000 0.000
6 Pd 0.750 0.250 0.500
7 Ge 0.250 0.750 0.500
8 Ge 0.500 0.500 0.000

Computed, not measured: a relaxed structure of SrSbCl5 at the PBE level of DFT.

Properties
SG = P2_1/c (14)
total DFT energy (no corrections) = -3.657 eV per atom
total magnetic moment = 0.00 μB/f.u.
ΔE_f (raw) = -1.5088 eV/atom

a b c (Å): 6.865 9.979 13.976
angles (deg): 90.00 90.00 112.08
Element x y z (fractional)
1 Cl 0.963 0.870 0.339
2 Cl 0.152 0.243 0.412
3 Cl 0.395 0.632 0.318
4 Cl 0.895 0.132 0.182
5 Cl 0.848 0.757 0.588
6 Cl 0.652 0.743 0.088
7 Cl 0.169 0.501 0.598
8 Cl 0.605 0.368 0.682
9 Cl 0.669 0.001 0.902
10 Cl 0.831 0.499 0.402
11 Cl 0.506 0.955 0.617
12 Cl 0.994 0.545 0.117
13 Cl 0.494 0.045 0.383
14 Cl 0.537 0.630 0.839
15 Cl 0.006 0.455 0.883
16 Cl 0.331 0.999 0.098
17 Cl 0.463 0.370 0.161
18 Cl 0.037 0.130 0.661
19 Cl 0.348 0.257 0.912
20 Cl 0.105 0.868 0.818
21 Sb 0.794 0.891 0.732
22 Sb 0.206 0.109 0.268
23 Sb 0.706 0.609 0.232
24 Sb 0.294 0.391 0.768
25 Sr 0.278 0.748 0.977
26 Sr 0.778 0.248 0.523
27 Sr 0.222 0.752 0.477
28 Sr 0.722 0.252 0.023

Computed, not measured: a relaxed structure of Ba4LiN at the PBE level of DFT.

Properties
energy relative to the lowest polymorph listed for this composition = 0.0 meV/atom
SG = P2_1/c (14)
total DFT energy (no corrections) = -3.144 eV per atom
total magnetic moment = 0.00 μB/f.u.
ΔE_f (raw) = -0.1556 eV/atom

a b c (Å): 10.433 10.935 11.110
angles (deg): 90.00 90.00 103.54
Element x y z (fractional)
1 N 0.625 0.303 0.329
2 N 0.125 0.803 0.171
3 N 0.875 0.197 0.829
4 N 0.375 0.697 0.671
5 Ba 0.956 0.756 0.003
6 Ba 0.177 0.519 0.633
7 Ba 0.723 0.117 0.301
8 Ba 0.323 0.981 0.133
9 Ba 0.677 0.019 0.867
10 Ba 0.823 0.481 0.367
11 Ba 0.456 0.256 0.497
12 Ba 0.544 0.744 0.503
13 Ba 0.982 0.116 0.654
14 Ba 0.044 0.244 0.997
15 Ba 0.482 0.616 0.846
16 Ba 0.018 0.884 0.346
17 Ba 0.518 0.384 0.154
18 Ba 0.223 0.617 0.199
19 Ba 0.277 0.883 0.699
20 Ba 0.777 0.383 0.801
21 Li 0.622 0.770 0.158
22 Li 0.122 0.270 0.342
23 Li 0.878 0.730 0.658
24 Li 0.378 0.230 0.842

Computed, not measured: a relaxed structure of LaCe2UAs4 at the PBE level of DFT.

Properties
SG = I-4m2 (119)
total DFT energy (no corrections) = -7.091 eV per atom
total magnetic moment = 4.04 μB/f.u.

a b c (Å): 5.978 5.978 7.321
angles (deg): 114.10 114.10 90.00
Element x y z (fractional)
1 As 0.506 0.006 0.011
2 As 0.246 0.246 0.492
3 As 0.754 0.754 0.508
4 As 0.994 0.494 0.989
5 U 0.750 0.250 0.500
6 Ce 0.250 0.750 0.500
7 Ce 0.000 0.000 0.000
8 La 0.500 0.500 0.000

Number 1: density of states at the Fermi level 7.84 states/eV/cell. Number 2: density of states at the Fermi level 1.50 states/eV/cell. Number 3: density of states at the Fermi level 11.28 states/eV/cell. Number 4: density of states at the Fermi level 5.56 states/eV/cell. Number 5: density of states at the Fermi level 8.45 states/eV/cell. Number 6: density of states at the Fermi level 0.00 states/eV/cell. Number 7: density of states at the Fermi level 22.83 states/eV/cell. Number 8: density of states at the Fermi level 19.21 states/eV/cell.